# 1
DFT (PBE) results for crystalline Pr2Nd2In5 at its relaxed geometry.

```
data_Pr2Nd2In5
_chemical_formula_sum 'Pr8 Nd8 In20'
_cell_length_a 14.312
_cell_length_b 7.403
_cell_length_c 10.383
_cell_angle_alpha 90.00
_cell_angle_beta 90.00
_cell_angle_gamma 90.00
_symmetry_space_group_name_H-M 'I m a 2'
_symmetry_Int_Tables_number 46
loop_
_symmetry_equiv_pos_as_xyz
'x,y,z'
'-x,-y,z'
'-x+1/2,y,z'
'x+1/2,-y,z'
'x+1/2,y+1/2,z+1/2'
'-x+1/2,-y+1/2,z+1/2'
'-x,y+1/2,z+1/2'
'x,-y+1/2,z+1/2'
loop_
_atom_site_label
_atom_site_fract_x
_atom_site_fract_y
_atom_site_fract_z
_atom_site_occupancy
Pr1 0.126 0.026 0.000 1
Nd1 0.000 0.000 0.435 1
Nd2 0.250 0.502 0.067 1
In1 0.045 0.186 0.713 1
In2 0.151 0.712 0.774 1
In3 0.250 0.181 0.285 1
```

Results
The total energy is -142.020 eV/cell. The value obtained for the density of states at the Fermi level is 0.7745 states/eV/atom.

# 2
DFT (PBE) results for crystalline InAg3Sn at its relaxed geometry.

```
data_InAg3Sn
_chemical_formula_sum 'In4 Ag12 Sn4'
_cell_length_a 7.226
_cell_length_b 7.324
_cell_length_c 8.332
_cell_angle_alpha 90.00
_cell_angle_beta 90.00
_cell_angle_gamma 90.00
_symmetry_space_group_name_H-M 'P n n m'
_symmetry_Int_Tables_number 58
loop_
_symmetry_equiv_pos_as_xyz
'x,y,z'
'-x,-y,-z'
'-x,-y,z'
'x,y,-z'
'x+1/2,-y+1/2,-z+1/2'
'-x+1/2,y+1/2,z+1/2'
'-x+1/2,y+1/2,-z+1/2'
'x+1/2,-y+1/2,z+1/2'
loop_
_atom_site_label
_atom_site_fract_x
_atom_site_fract_y
_atom_site_fract_z
_atom_site_occupancy
In1 0.182 0.144 0.000 1
Ag1 0.000 0.500 0.181 1
Ag2 0.136 0.858 0.256 1
Sn1 0.165 0.174 0.500 1
```

Results
The total energy is -59.622 eV/cell. As for the polymorph energy (0 for the lowest one): 0 meV per atom. The value obtained for the density of states at the Fermi level is 0.2027 states/eV/atom.

# 3
DFT (PBE) results for crystalline TiFe2As2 at its relaxed geometry.

```
data_TiFe2As2
_chemical_formula_sum 'Ti2 Fe4 As4'
_cell_length_a 6.922
_cell_length_b 6.922
_cell_length_c 2.811
_cell_angle_alpha 90.00
_cell_angle_beta 90.00
_cell_angle_gamma 90.00
_symmetry_space_group_name_H-M 'P 4/m b m'
_symmetry_Int_Tables_number 127
_symmetry_space_group_name_Hall '-P 4 2ab'
loop_
_atom_site_label
_atom_site_fract_x
_atom_site_fract_y
_atom_site_fract_z
_atom_site_occupancy
Ti1 0.000 0.000 0.000 1
Fe1 0.139 0.361 0.500 1
As1 0.155 0.655 0.000 1
```

Results
The total energy is -69.709 eV/cell. The value obtained for the density of states at the Fermi level is 1.1154 states/eV/atom.

# 4
DFT (PBE) results for crystalline GdTmHgRh at its relaxed geometry.

```
data_GdTmHgRh
_chemical_formula_sum 'Gd4 Tm4 Hg4 Rh4'
_cell_length_a 7.135
_cell_length_b 7.135
_cell_length_c 7.135
_cell_angle_alpha 90.00
_cell_angle_beta 90.00
_cell_angle_gamma 90.00
_symmetry_space_group_name_H-M 'F -4 3 m'
_symmetry_Int_Tables_number 216
_symmetry_space_group_name_Hall 'F -4 2 3'
loop_
_atom_site_label
_atom_site_fract_x
_atom_site_fract_y
_atom_site_fract_z
_atom_site_occupancy
Gd1 0.000 0.000 0.000 1
Tm1 0.000 0.000 0.500 1
Hg1 0.250 0.250 0.250 1
Rh1 0.250 0.250 0.750 1
```

Results
The total energy is -114.565 eV/cell. The value obtained for the density of states at the Fermi level is 0.6071 states/eV/atom.

# 5
DFT (PBE) results for crystalline K3Y at its relaxed geometry.

```
data_K3Y
_chemical_formula_sum 'K6 Y2'
_cell_length_a 8.356
_cell_length_b 13.483
_cell_length_c 3.782
_cell_angle_alpha 90.00
_cell_angle_beta 90.00
_cell_angle_gamma 90.00
_symmetry_space_group_name_H-M 'C m m m'
_symmetry_Int_Tables_number 65
_symmetry_space_group_name_Hall '-C 2 2'
loop_
_atom_site_label
_atom_site_fract_x
_atom_site_fract_y
_atom_site_fract_z
_atom_site_occupancy
K1 0.000 0.000 0.000 1
K2 0.250 0.250 0.500 1
Y1 0.000 0.500 0.000 1
```

Results
The total energy is -16.004 eV/cell. The value obtained for the density of states at the Fermi level is 1.0802 states/eV/atom.

# 6
DFT (PBE) results for crystalline Ca2MgTe at its relaxed geometry.

```
data_Ca2MgTe
_chemical_formula_sum 'Ca4 Mg2 Te2'
_cell_length_a 7.759
_cell_length_b 7.651
_cell_length_c 4.063
_cell_angle_alpha 90.00
_cell_angle_beta 90.14
_cell_angle_gamma 90.00
_symmetry_space_group_name_H-M 'C 1 2/m 1'
_symmetry_Int_Tables_number 12
loop_
_symmetry_equiv_pos_as_xyz
'x,y,z'
'-x,-y,-z'
'-x,y,-z'
'x,-y,z'
'x+1/2,y+1/2,z'
'-x+1/2,-y+1/2,-z'
'-x+1/2,y+1/2,-z'
'x+1/2,-y+1/2,z'
loop_
_atom_site_label
_atom_site_fract_x
_atom_site_fract_y
_atom_site_fract_z
_atom_site_occupancy
Ca1 0.250 0.250 0.000 1
Mg1 0.000 0.000 0.500 1
Te1 0.000 0.500 0.500 1
```

Results
The total energy is -22.315 eV/cell. As for the polymorph energy (0 for the lowest one): 108 meV per atom. The value obtained for the density of states at the Fermi level is 0.6312 states/eV/atom.

# 7
DFT (PBE) results for crystalline Tb3PmDyY at its relaxed geometry.

```
data_Tb3PmDyY
_chemical_formula_sum 'Tb12 Pm4 Dy4 Y4'
_cell_length_a 19.953
_cell_length_b 5.701
_cell_length_c 6.905
_cell_angle_alpha 90.00
_cell_angle_beta 90.11
_cell_angle_gamma 90.00
_symmetry_space_group_name_H-M 'C 1 2/m 1'
_symmetry_Int_Tables_number 12
loop_
_symmetry_equiv_pos_as_xyz
'x,y,z'
'-x,-y,-z'
'-x,y,-z'
'x,-y,z'
'x+1/2,y+1/2,z'
'-x+1/2,-y+1/2,-z'
'-x+1/2,y+1/2,-z'
'x+1/2,-y+1/2,z'
loop_
_atom_site_label
_atom_site_fract_x
_atom_site_fract_y
_atom_site_fract_z
_atom_site_occupancy
Tb1 0.021 0.000 0.242 1
Tb2 0.162 0.500 0.235 1
Tb3 0.220 0.500 0.744 1
Pm1 0.145 0.000 0.524 1
Dy1 0.149 0.000 0.962 1
Y1 0.055 0.500 0.761 1
```

Results
The total energy is -114.048 eV/cell. The value obtained for the density of states at the Fermi level is 1.5195 states/eV/atom.

# 8
DFT (PBE) results for crystalline YFe2Pb at its relaxed geometry.

```
data_YFe2Pb
_chemical_formula_sum 'Y2 Fe4 Pb2'
_cell_length_a 6.060
_cell_length_b 9.306
_cell_length_c 3.199
_cell_angle_alpha 90.00
_cell_angle_beta 116.86
_cell_angle_gamma 90.00
_symmetry_space_group_name_H-M 'C 1 2/m 1'
_symmetry_Int_Tables_number 12
loop_
_symmetry_equiv_pos_as_xyz
'x,y,z'
'-x,-y,-z'
'-x,y,-z'
'x,-y,z'
'x+1/2,y+1/2,z'
'-x+1/2,-y+1/2,-z'
'-x+1/2,y+1/2,-z'
'x+1/2,-y+1/2,z'
loop_
_atom_site_label
_atom_site_fract_x
_atom_site_fract_y
_atom_site_fract_z
_atom_site_occupancy
Y1 0.000 0.000 0.000 1
Fe1 0.250 0.250 0.500 1
Pb1 0.000 0.500 0.000 1
```

Results
The total energy is -50.361 eV/cell. The value obtained for the density of states at the Fermi level is 1.0842 states/eV/atom.

# 9
DFT (PBE) results for crystalline Sr2TaSb at its relaxed geometry.

```
data_Sr2TaSb
_chemical_formula_sum 'Sr8 Ta4 Sb4'
_cell_length_a 9.033
_cell_length_b 9.033
_cell_length_c 6.096
_cell_angle_alpha 90.00
_cell_angle_beta 90.00
_cell_angle_gamma 90.00
_symmetry_space_group_name_H-M 'I -4 2 d'
_symmetry_Int_Tables_number 122
_symmetry_space_group_name_Hall 'I -4 2bw'
loop_
_atom_site_label
_atom_site_fract_x
_atom_site_fract_y
_atom_site_fract_z
_atom_site_occupancy
Sr1 0.238 0.250 0.125 1
Ta1 0.000 0.000 0.500 1
Sb1 0.000 0.000 0.000 1
```

Results
The total energy is -66.573 eV/cell. The value obtained for the density of states at the Fermi level is 0.8246 states/eV/atom.

# 10
DFT (PBE) results for crystalline BaSrPF at its relaxed geometry.

```
data_BaSrPF
_chemical_formula_sum 'Ba2 Sr2 P2 F2'
_cell_length_a 4.910
_cell_length_b 4.910
_cell_length_c 9.470
_cell_angle_alpha 90.00
_cell_angle_beta 90.00
_cell_angle_gamma 90.00
_symmetry_space_group_name_H-M 'P 4/n m m'
_symmetry_Int_Tables_number 129
loop_
_symmetry_equiv_pos_as_xyz
'x,y,z'
'-x,-y,-z'
'-y+1/2,x,z'
'y+1/2,-x,-z'
'-x+1/2,-y+1/2,z'
'x+1/2,y+1/2,-z'
'y,-x+1/2,z'
'-y,x+1/2,-z'
'x+1/2,-y,-z'
'-x+1/2,y,z'
'-y,-x,-z'
'y,x,z'
'-x,y+1/2,-z'
'x,-y+1/2,z'
'y+1/2,x+1/2,-z'
'-y+1/2,-x+1/2,z'
loop_
_atom_site_label
_atom_site_fract_x
_atom_site_fract_y
_atom_site_fract_z
_atom_site_occupancy
Ba1 0.250 0.250 0.122 1
Sr1 0.250 0.750 0.500 1
P1 0.250 0.250 0.684 1
F1 0.250 0.750 0.000 1
```

Results
The total energy is -37.444 eV/cell.

# 11
DFT (PBE) results for crystalline Sn6HgSe8 at its relaxed geometry.

```
data_Sn6HgSe8
_chemical_formula_sum 'Sn6 Hg1 Se8'
_cell_length_a 11.4143
_cell_length_b 11.4143
_cell_length_c 4.1101
_cell_angle_alpha 90.00
_cell_angle_beta 90.00
_cell_angle_gamma 120.00
_symmetry_space_group_name_H-M 'P -3'
_symmetry_Int_Tables_number 147
loop_
_symmetry_equiv_pos_as_xyz
'x,y,z'
'-x,-y,-z'
'-y,x-y,z'
'y,-x+y,-z'
'-x+y,-x,z'
'x-y,x,-z'
loop_
_atom_site_label
_atom_site_fract_x
_atom_site_fract_y
_atom_site_fract_z
_atom_site_occupancy
Sn1 0.1343 0.4842 0.2495 1
Hg1 0.0000 0.0000 0.5000 1
Se1 0.0394 0.6737 0.2504 1
Se2 0.3333 0.6667 0.7497 1
```

Results
The total energy is -57.434 eV/cell. As for the polymorph energy (0 for the lowest one): 0 meV per atom. The value obtained for the density of states at the Fermi level is 0.2295 states/eV/atom.

# 12
DFT (PBE) results for crystalline SrLiZn2Au5 at its relaxed geometry.

```
data_SrLiZn2Au5
_chemical_formula_sum 'Sr1 Li1 Zn2 Au5'
_cell_length_a 4.984
_cell_length_b 4.984
_cell_length_c 7.605
_cell_angle_alpha 90.00
_cell_angle_beta 90.00
_cell_angle_gamma 90.00
_symmetry_space_group_name_H-M 'P 4/m m m'
_symmetry_Int_Tables_number 123
_symmetry_space_group_name_Hall '-P 4 2'
loop_
_atom_site_label
_atom_site_fract_x
_atom_site_fract_y
_atom_site_fract_z
_atom_site_occupancy
Sr1 0.000 0.000 0.000 1
Li1 0.000 0.000 0.500 1
Zn1 0.500 0.500 0.339 1
Au1 0.000 0.500 0.289 1
Au2 0.500 0.500 0.000 1
```

Results
The total energy is -25.368 eV/cell. The value obtained for the density of states at the Fermi level is 0.2673 states/eV/atom.